Below is crystalline KNi2Sn2 at its relaxed geometry, with properties calculated at the PBEsol level.

```
KNi2Sn2
1.0
4.532 0.000 0.000
0.000 4.532 0.000
-2.266 -2.266 5.006
Sn Ni K
2 2 1
Cartesian
0.000 2.266 2.503
2.266 0.000 2.503
0.000 0.000 3.794
2.266 2.266 1.212
0.000 0.000 0.000
```

Results
Volume in Å³/cell: 102.8
E in eV per cell: -21.8
Symmetry: No. 139